# 1
This record from the Open Quantum Materials Database describes SrTmCdCl2O2 after structural relaxation. The functional is PBE.

Calculated values
V in Å³/cell: 152.0
E in eV/cell: -36.27

```
SrTmCdCl2O2
1.0
-5.161 -0.596 -4.108
-2.470 -2.599 -5.569
0.492 -4.142 6.582
Cd Cl O Sr Tm
1 2 2 1 1
Direct
0.973 0.973 0.952
0.448 0.448 0.356
0.659 0.659 0.893
0.167 0.167 0.264
0.805 0.805 0.611
0.180 0.180 0.607
0.768 0.768 0.317
```

# 2
This record from the Open Quantum Materials Database describes Ta4CdInN2 after structural relaxation. The functional is PBE.

Calculated values
V in Å³/cell: 123.0
E in eV/cell: -70.98

```
Ta4CdInN2
1.0
3.125 0.000 0.000
-1.562 2.706 0.000
0.000 0.000 14.548
Cd In N Ta
1 1 2 4
Direct
0.000 0.000 0.000
0.667 0.333 0.500
0.333 0.667 0.249
0.333 0.667 0.751
0.667 0.333 0.168
0.000 0.000 0.333
0.000 0.000 0.667
0.667 0.333 0.832
```

# 3
This record from the Open Quantum Materials Database describes YZr2Tc2 after structural relaxation. The functional is PBE.

Calculated values
ΔH_f (0 K) in eV per atom: -0.02
V in Å³/cell: 110.2

```
YZr2Tc2
1.0
-2.193 2.193 5.726
2.193 -2.193 5.726
2.193 2.193 -5.726
Tc Y Zr
2 1 2
Direct
0.394 0.394 0.000
0.606 0.606 0.000
0.000 0.000 0.000
0.750 0.250 0.500
0.250 0.750 0.500
```

# 4
This record from the Open Quantum Materials Database describes YCuSiOs after structural relaxation. The functional is PBE.

Calculated values
V in Å³/cell: 64.9
E in eV/cell: -26.86

```
YCuSiOs
1.0
0.000 3.190 3.190
3.190 0.000 3.190
3.190 3.190 0.000
Cu Os Si Y
1 1 1 1
Direct
0.750 0.750 0.750
0.250 0.250 0.250
0.000 0.000 0.000
0.500 0.500 0.500
```

# 5
This record from the Open Quantum Materials Database describes SmZnInTe3 after structural relaxation. The functional is PBE.

Calculated values
V in Å³/cell: 394.3
E in eV/cell: -45.71

```
SmZnInTe3
1.0
-2.607 0.772 -3.430
-2.165 -7.199 -2.766
-9.301 0.074 7.087
In Sm Te Zn
2 2 6 2
Direct
0.242 0.516 0.250
0.758 0.484 0.750
0.000 0.000 0.000
0.000 0.000 0.500
0.638 0.724 0.067
0.924 0.153 0.250
0.638 0.724 0.433
0.362 0.276 0.567
0.076 0.847 0.750
0.362 0.276 0.933
0.533 0.933 0.250
0.467 0.067 0.750
```

# 6
This record from the Open Quantum Materials Database describes Pr2GdZn3Ir2Pt after structural relaxation. The functional is PBE.

Calculated values
ΔH_f (0 K) in eV per atom: -0.70
V in Å³/cell: 184.9

```
Pr2GdZn3Ir2Pt
1.0
4.000 0.000 0.000
0.000 6.313 3.662
0.000 -6.313 3.662
Gd Ir Pr Pt Zn
1 2 2 1 3
Direct
0.000 0.409 0.409
0.500 0.659 0.337
0.500 0.337 0.659
0.000 0.000 0.587
0.000 0.587 0.000
0.000 0.004 0.004
0.500 0.247 0.005
0.500 0.005 0.247
0.500 0.751 0.751
```

# 7
This record from the Open Quantum Materials Database describes AlCoSi2 after structural relaxation. The functional is PBE.

Calculated values
V in Å³/cell: 51.5
E in eV/cell: -21.21

```
AlCoSi2
1.0
0.000 2.953 2.953
2.953 0.000 2.953
2.953 2.953 0.000
Al Co Si
1 1 2
Direct
0.500 0.500 0.500
0.250 0.250 0.250
0.000 0.000 0.000
0.750 0.750 0.750
```

# 8
This record from the Open Quantum Materials Database describes HfOF2 after structural relaxation. The functional is PBE.

Calculated values
V in Å³/cell: 53.0
E in eV/cell: -32.49

```
HfOF2
1.0
3.277 0.227 0.284
-0.429 2.254 3.156
-1.399 -4.593 0.678
F Hf O
2 1 1
Direct
0.656 0.156 0.312
0.344 0.844 0.688
0.000 0.000 0.000
0.000 0.500 0.000
```

What is the V in the sixth record?
184.9 Å³/cell

The highest V belongs to which entry?
SmZnInTe3

Which formula does entry 6 have?
Pr2GdZn3Ir2Pt

What did the third record say?
This record from the Open Quantum Materials Database describes YZr2Tc2 after structural relaxation. The functional is PBE.

Calculated values
ΔH_f (0 K) in eV per atom: -0.02
V in Å³/cell: 110.2

```
YZr2Tc2
1.0
-2.193 2.193 5.726
2.193 -2.193 5.726
2.193 2.193 -5.726
Tc Y Zr
2 1 2
Direct
0.394 0.394 0.000
0.606 0.606 0.000
0.000 0.000 0.000
0.750 0.250 0.500
0.250 0.750 0.500
```